Material: SrCoF2
Method: DFT, PBE+U
State: relaxed

It has space group Fm-3m (No. 225), with a = 6.4675 Å, b = 6.4675 Å, c = 6.4675 Å, α = 90.00°, β = 90.00° and γ = 90.00°. Symmetry generates all atoms from Sr at (0.0000, 0.0000, 0.0000), Co at (0.0000, 0.0000, 0.5000) and F at (0.2500, 0.2500, 0.2500).

The value obtained for the energy above the most stable polymorph in this dataset is 397.1 meV/atom. The density of states at the Fermi level is 35.33 states/eV per cell. The total energy comes out at -4.236 eV/atom.